Version one
A plane-wave DFT calculation with PBE-GGA was carried out for a geometry-optimized LaSc3Cu structure.

The structure in POSCAR format:
```
LaSc3Cu
1.0
5.0893 0.0000 0.0000
0.0000 5.0893 0.0000
0.0000 0.0000 5.0893
La Sc Cu
1 3 1
direct
0.0000 0.0000 0.0000
0.0000 0.5000 0.5000
0.5000 0.0000 0.5000
0.5000 0.5000 0.0000
0.5000 0.5000 0.5000
```

## Properties
The magnetic moment comes out at 0.000 μB per atom. Its density of states at the Fermi level is 1.080 states/eV/atom.

Version two
A plane-wave DFT calculation with PBE-GGA was carried out for a geometry-optimized LaSc3Cu structure.

The structure in POSCAR format:
```
LaSc3Cu
1.0
5.1546 0.0000 0.0000
0.0000 5.1546 0.0000
0.0000 0.0000 5.1546
La Sc Cu
1 3 1
direct
0.0000 0.0000 0.0000
0.0000 0.0000 0.5000
0.0000 0.5000 0.0000
0.5000 0.0000 0.0000
0.5000 0.5000 0.5000
```

## Properties
The magnetic moment comes out at 0.000 μB per atom. Its density of states at the Fermi level is 1.471 states/eV/atom.

Tell me which of them is the most stable. Sure, it is version one.

Version one
A plane-wave DFT calculation with PBE-GGA was carried out for a geometry-optimized LaCuSe structure.

The structure in POSCAR format:
```
LaCuSe
1.0
0.0000 3.3035 3.3035
3.3035 0.0000 3.3035
3.3035 3.3035 0.0000
La Cu Se
1 1 1
direct
0.0000 0.0000 0.0000
0.2500 0.2500 0.2500
0.5000 0.5000 0.5000
```

## Properties
The magnetic moment comes out at 0.000 μB per atom. Its density of states at the Fermi level is 0.621 states/eV/atom.

Version two
A plane-wave DFT calculation with PBE-GGA was carried out for a geometry-optimized LaCuSe structure.

The structure in POSCAR format:
```
LaCuSe
1.0
4.2955 0.0000 0.0000
-2.1478 3.7200 0.0000
0.0000 0.0000 4.0935
La Cu Se
1 1 1
direct
0.0000 0.0000 0.0000
0.3333 0.6667 0.5064
0.6667 0.3333 0.4992
```

## Properties
The magnetic moment comes out at 0.000 μB per atom. Its density of states at the Fermi level is 0.348 states/eV/atom.

Tell me which of them is the most stable. Sure, it is version two.

Version one
A plane-wave DFT calculation with PBE-GGA was carried out for a geometry-optimized LaCuSe structure.

The structure in POSCAR format:
```
LaCuSe
1.0
0.0000 3.4970 3.4970
3.4970 0.0000 3.4970
3.4970 3.4970 0.0000
La Cu Se
1 1 1
direct
0.0000 0.0000 0.0000
0.2500 0.2500 0.2500
0.7500 0.7500 0.7500
```

## Properties
The magnetic moment comes out at 0.000 μB per atom.

Version two
A plane-wave DFT calculation with PBE-GGA was carried out for a geometry-optimized LaCuSe structure.

The structure in POSCAR format:
```
LaCuSe
1.0
2.3676 1.3669 8.1232
-2.3676 1.3669 8.1232
0.0000 -2.7339 8.1232
La Cu Se
2 2 2
direct
0.0811 0.0811 0.0811
0.9189 0.9189 0.9189
0.3280 0.3280 0.3280
0.6720 0.6720 0.6720
0.2130 0.2130 0.2130
0.7870 0.7870 0.7870
```

## Properties
The magnetic moment comes out at 0.000 μB per atom. Its density of states at the Fermi level is 0.501 states/eV/atom.

Tell me which of them is the most stable. Sure, it is version two.

Version one
A plane-wave DFT calculation with PBE-GGA was carried out for a geometry-optimized LaCu3Se structure.

The structure in POSCAR format:
```
LaCu3Se
1.0
4.7245 0.0000 0.0000
0.0000 4.7245 0.0000
0.0000 0.0000 4.7245
La Cu Se
1 3 1
direct
0.0000 0.0000 0.0000
0.0000 0.5000 0.5000
0.5000 0.0000 0.5000
0.5000 0.5000 0.0000
0.5000 0.5000 0.5000
```

## Properties
The magnetic moment comes out at 0.000 μB per atom. Its density of states at the Fermi level is 0.637 states/eV/atom.

Version two
A plane-wave DFT calculation with PBE-GGA was carried out for a geometry-optimized LaCu3Se structure.

The structure in POSCAR format:
```
LaCu3Se
1.0
5.1952 0.0000 0.0000
0.0000 5.1952 0.0000
0.0000 0.0000 5.1952
La Cu Se
1 3 1
direct
0.0000 0.0000 0.0000
0.0000 0.0000 0.5000
0.0000 0.5000 0.0000
0.5000 0.0000 0.0000
0.5000 0.5000 0.5000
```

## Properties
The magnetic moment comes out at 0.000 μB per atom. Its density of states at the Fermi level is 1.057 states/eV/atom.

Tell me which of them is the most stable. Sure, it is version one.